DFT (SCAN) results for SiNiPt at its PBEsol-relaxed geometry.

a = 5.4815 Å, b = 5.4815 Å, c = 5.4815 Å
α = 90.00°, β = 90.00°, γ = 90.00°
Fractional coordinates of all 12 atoms:
Si (0.0000, 0.0000, 0.0000)
Si (0.0000, 0.5000, 0.5000)
Si (0.5000, 0.0000, 0.5000)
Si (0.5000, 0.5000, 0.0000)
Ni (0.2500, 0.2500, 0.7500)
Ni (0.2500, 0.7500, 0.2500)
Ni (0.7500, 0.2500, 0.2500)
Ni (0.7500, 0.7500, 0.7500)
Pt (0.2500, 0.2500, 0.2500)
Pt (0.2500, 0.7500, 0.7500)
Pt (0.7500, 0.2500, 0.7500)
Pt (0.7500, 0.7500, 0.2500)

Output
**Space-group type**: No. 216
**Formation energy from raw total energies**: -0.723 eV/atom
**Magnetization**: 0.0000 μB/atom



DFT (SCAN) results for Ba6GdRe3O18 at its PBEsol-relaxed geometry.

a = 10.0761 Å, b = 10.0761 Å, c = 9.9437 Å
α = 99.73°, β = 99.73°, γ = 119.99°
Fractional coordinates of all 56 atoms:
Ba (0.0418, 0.3603, 0.1253)
Ba (0.1314, 0.1314, 0.3903)
Ba (0.2016, 0.5361, 0.6041)
Ba (0.2772, 0.2772, 0.8735)
Ba (0.3603, 0.0418, 0.1253)
Ba (0.4639, 0.7984, 0.3959)
Ba (0.5361, 0.2016, 0.6041)
Ba (0.6397, 0.9582, 0.8747)
Ba (0.7228, 0.7228, 0.1265)
Ba (0.7984, 0.4639, 0.3959)
Ba (0.8686, 0.8686, 0.6097)
Ba (0.9582, 0.6397, 0.8747)
Gd (0.3331, 0.6669, 0.0000)
Gd (0.6669, 0.3331, 0.0000)
Re (0.0895, 0.7581, 0.2703)
Re (0.2419, 0.9105, 0.7297)
Re (0.4220, 0.4220, 0.2698)
Re (0.5780, 0.5780, 0.7302)
Re (0.7581, 0.0895, 0.2703)
Re (0.9105, 0.2419, 0.7297)
O (0.0330, 0.2112, 0.6267)
O (0.0469, 0.8579, 0.1417)
O (0.0548, 0.7180, 0.6287)
O (0.1079, 0.4419, 0.8600)
O (0.1218, 0.6279, 0.3634)
O (0.1421, 0.9531, 0.8583)
O (0.1993, 0.7110, 0.1386)
O (0.2112, 0.0330, 0.6267)
O (0.2370, 0.2370, 0.1400)
O (0.2820, 0.9452, 0.3713)
O (0.2890, 0.8007, 0.8614)
O (0.3010, 0.4585, 0.3710)
O (0.3721, 0.8782, 0.6366)
O (0.3823, 0.5362, 0.1399)
O (0.3853, 0.3853, 0.6343)
O (0.4419, 0.1079, 0.8600)
O (0.4585, 0.3010, 0.3710)
O (0.4638, 0.6177, 0.8601)
O (0.5362, 0.3823, 0.1399)
O (0.5415, 0.6990, 0.6290)
O (0.5581, 0.8921, 0.1400)
O (0.6147, 0.6147, 0.3657)
O (0.6177, 0.4638, 0.8601)
O (0.6279, 0.1218, 0.3634)
O (0.6990, 0.5415, 0.6290)
O (0.7110, 0.1993, 0.1386)
O (0.7180, 0.0548, 0.6287)
O (0.7630, 0.7630, 0.8600)
O (0.7888, 0.9670, 0.3733)
O (0.8007, 0.2890, 0.8614)
O (0.8579, 0.0469, 0.1417)
O (0.8782, 0.3721, 0.6366)
O (0.8921, 0.5581, 0.1400)
O (0.9452, 0.2820, 0.3713)
O (0.9531, 0.1421, 0.8583)
O (0.9670, 0.7888, 0.3733)

Output
**Space-group type**: No. 12
**Formation energy from raw total energies**: -2.635 eV/atom
**Magnetization**: 0.2453 μB/atom



What is the formula in the first record? SiNiPt



Which of these has the highest magnetization? Ba6GdRe3O18



The lowest formation energy from raw total energies belongs to which entry? Ba6GdRe3O18



What is the formula in the first record? SiNiPt